Entry 1:
A plane-wave DFT calculation with PBE-GGA was carried out for a geometry-optimized KCd4Pb structure.

Cell and atoms, written as POSCAR:
```
KCd4Pb
1.0
0.000 4.358 4.358
4.358 0.000 4.358
4.358 4.358 0.000
K Cd Pb
1 4 1
direct
0.000 0.000 0.000
0.125 0.625 0.625
0.625 0.125 0.625
0.625 0.625 0.125
0.625 0.625 0.625
0.250 0.250 0.250
```

Computed properties:
Density in Mg/m³: 6.98
Crystal system: cubic
Magnetization in μB/atom: 0.00
Energy relative to the elements in meV per atom: -60
Symmetry: No. 216

***

Entry 2:
A plane-wave DFT calculation with PBE-GGA was carried out for a geometry-optimized CuHgPb structure.

Cell and atoms, written as POSCAR:
```
CuHgPb
1.0
6.268 -2.010 0.000
6.268 2.010 0.000
-1.600 0.000 5.432
Cu Hg Pb
2 2 2
direct
0.229 0.229 0.358
0.771 0.771 0.642
0.430 0.430 0.727
0.570 0.570 0.273
0.143 0.143 0.818
0.857 0.857 0.182
```

Computed properties:
Density in Mg/m³: 11.44
Crystal system: monoclinic
Magnetization in μB/atom: 0.00
Energy relative to the elements in meV per atom: 115
Symmetry: No. 12

***

Entry 3:
A plane-wave DFT calculation with PBE-GGA was carried out for a geometry-optimized GeTeWN2 structure.

Cell and atoms, written as POSCAR:
```
GeTeWN2
1.0
3.795 0.000 0.000
0.000 3.795 0.000
0.000 0.000 6.948
Ge Te W N
1 1 1 2
direct
0.000 0.000 0.000
0.000 0.000 0.500
0.500 0.500 0.500
0.000 0.500 0.000
0.500 0.000 0.000
```

Computed properties:
Formation energy without anion corrections in meV/atom: 1855
Density in Mg/m³: 6.84
Crystal system: tetragonal
Magnetization in μB/atom: 0.69
Symmetry: No. 123

***

Entry 4:
A plane-wave DFT calculation with PBE-GGA was carried out for a geometry-optimized Ce2InAg3 structure.

Cell and atoms, written as POSCAR:
```
Ce2InAg3
1.0
-1.715 2.416 9.078
1.715 -2.416 9.078
1.715 2.416 -9.078
Ce In Ag
2 1 3
direct
0.000 0.000 0.000
0.752 0.252 0.500
0.590 0.590 0.000
0.165 0.665 0.500
0.318 0.818 0.500
0.434 0.434 0.000
```

Computed properties:
Density in Mg/m³: 7.93
Crystal system: orthorhombic
Magnetization in μB/atom: 0.41
Energy relative to the elements in meV per atom: -112
Symmetry: No. 44